[1]
4
Lattice="3.7140 -2.4175 0.0000 3.7140 2.4175 0.0000 -1.8609 0.0000 6.5567" Properties=species:S:1:pos:R:3 comment="BaTlP2 PBE relaxed" total_magnetization_mub_per_atom=0.2292 density_g_cm3=5.69 sg="C2/m, No. 12" energy_ev_per_atom=-3.869 ef_ev_per_atom=-0.0917 relative_energy_mev_per_atom=326 pbc="T T T"
Ba 0.0000 0.0000 0.0000
Tl 2.7836 0.0000 3.2784
P 0.6738 0.0000 4.7020
P 4.8933 0.0000 1.8548

[2]
4
Lattice="2.1604 1.2473 8.5808 -2.1604 1.2473 8.5808 0.0000 -2.4947 8.5808" Properties=species:S:1:pos:R:3 comment="BaTl2P PBE relaxed" total_magnetization_mub_per_atom=0.0000 density_g_cm3=6.91 sg="R3m, No. 160" energy_ev_per_atom=-3.242 ef_ev_per_atom=-0.2261 relative_energy_mev_per_atom=168 pbc="T T T"
Ba 0.0000 0.0000 0.0000
Tl 0.0000 0.0000 5.5545
Tl 0.0000 0.0000 11.8125
P 0.0000 0.0000 18.9437

[3]
8
Lattice="-3.8744 3.8744 3.9164 3.8744 -3.8744 3.9164 3.8744 3.8744 -3.9164" Properties=species:S:1:pos:R:3 comment="BaTlP2 PBE relaxed" total_magnetization_mub_per_atom=0.0000 density_g_cm3=5.70 sg="I-42d, No. 122" energy_ev_per_atom=-3.981 ef_ev_per_atom=-0.2038 relative_energy_mev_per_atom=214 pbc="T T T"
Ba 0.0000 0.0000 0.0000
Ba 0.0000 3.8744 1.9582
Tl 3.8744 0.0000 1.9582
Tl 0.0000 0.0000 3.9164
P 1.9372 -1.4391 2.9373
P 2.4353 1.9372 0.9791
P 1.9372 5.3136 -0.9791
P 1.4391 1.9372 4.8955

[4]
4
Lattice="4.2140 0.0000 0.0000 0.0000 4.2140 0.0000 0.0000 0.0000 6.4647" Properties=species:S:1:pos:R:3 comment="BaTlP2 PBE relaxed" total_magnetization_mub_per_atom=0.0000 density_g_cm3=5.84 sg="P4/mmm, No. 123" energy_ev_per_atom=-3.986 ef_ev_per_atom=-0.2092 relative_energy_mev_per_atom=208 pbc="T T T"
Ba 0.0000 0.0000 0.0000
Tl 0.0000 0.0000 3.2323
P 2.1070 2.1070 2.1392
P 2.1070 2.1070 4.3255

[5]
18
Lattice="8.1240 0.0000 0.0000 0.0000 9.0820 0.0000 -7.9823 0.0000 11.9797" Properties=species:S:1:pos:R:3 comment="Ba6Tl2P PBE relaxed" total_magnetization_mub_per_atom=0.0237 density_g_cm3=4.75 sg="P2_1/c, No. 14" energy_ev_per_atom=-2.855 ef_ev_per_atom=-0.4466 pbc="T T T"
Ba -2.4976 1.6115 5.2523
Ba -6.4887 2.9295 11.2421
Ba -1.3044 6.3216 5.3211
Ba -5.2956 7.3014 11.3110
Ba 0.9884 0.3291 3.0374
Ba -3.0027 4.2119 9.0273
Ba 3.1445 4.8701 2.9524
Ba -0.8467 8.7529 8.9422
Ba 5.4373 1.7806 0.6687
Ba 1.4462 2.7604 6.6586
Ba 6.6304 6.1525 0.7376
Ba 2.6393 7.4705 6.7274
Tl -4.2513 0.8599 9.0275
Tl -0.2601 3.6811 3.0377
Tl 0.4019 5.4009 8.9420
Tl 4.3930 8.2221 2.9521
P 0.0709 0.0000 5.9898
P 4.0620 4.5410 0.0000

[6]
4
Lattice="0.0000 3.7692 3.7692 3.7692 0.0000 3.7692 3.7692 3.7692 0.0000" Properties=species:S:1:pos:R:3 comment="BaTlP2 PBE relaxed" total_magnetization_mub_per_atom=0.2670 density_g_cm3=6.26 sg="Fm-3m, No. 225" energy_ev_per_atom=-3.746 ef_ev_per_atom=0.0316 relative_energy_mev_per_atom=449 pbc="T T T"
Ba 0.0000 0.0000 0.0000
Tl 3.7692 3.7692 3.7692
P 1.8846 1.8846 1.8846
P 5.6538 5.6538 5.6538

[7]
4
Lattice="4.1081 0.0000 0.0000 0.0000 4.5842 0.0000 0.0000 0.0000 6.8377" Properties=species:S:1:pos:R:3 comment="BaTlP2 PBE relaxed" total_magnetization_mub_per_atom=0.0000 density_g_cm3=5.21 sg="Pmmm, No. 47" energy_ev_per_atom=-4.086 ef_ev_per_atom=-0.3087 relative_energy_mev_per_atom=109 pbc="T T T"
Ba 0.0000 0.0000 0.0000
Tl 0.0000 0.0000 3.4188
P 2.0541 2.2921 1.0793
P 2.0541 2.2921 5.7584

[8]
6
Lattice="0.0000 5.0186 5.0186 5.0186 0.0000 5.0186 5.0186 5.0186 0.0000" Properties=species:S:1:pos:R:3 comment="Ba4TlP PBE relaxed" total_magnetization_mub_per_atom=0.0826 density_g_cm3=5.15 sg="F-43m, No. 216" energy_ev_per_atom=-2.184 ef_ev_per_atom=0.3936 relative_energy_mev_per_atom=920 pbc="T T T"
Ba 1.2416 1.2416 1.2416
Ba 3.7770 3.7770 1.2416
Ba 3.7770 1.2416 3.7770
Ba 1.2416 3.7770 3.7770
Tl 5.0186 5.0186 5.0186
P 7.5279 7.5279 7.5279